VASP calculation (GGA-PBE) on a relaxed structure of Ti2Ir2Pd.

Lattice parameters (Å, degrees): 7.416 7.416 2.889 90.00 90.00 90.00
Space group P4/mbm (No. 127)
Symmetry-distinct sites (fractional):
Ti 0.154 0.346 0.000 [4 per cell]
Ir 0.142 0.642 0.500 [4 per cell]
Pd 0.000 0.000 0.000 [2 per cell]


VASP calculation (GGA-PBE) on a relaxed structure of Ti6Ir5Pd.

Lattice parameters (Å, degrees): 13.675 5.898 4.571 90.00 99.50 90.00
Space group C2/m (No. 12)
Symmetry-distinct sites (fractional):
Ti 0.000 0.244 0.000 [4 per cell]
Ti 0.166 0.247 0.692 [8 per cell]
Ir 0.000 0.000 0.500 [2 per cell]
Ir 0.168 0.500 0.190 [4 per cell]
Ir 0.172 0.000 0.198 [4 per cell]
Pd 0.000 0.500 0.500 [2 per cell]


VASP calculation (GGA-PBE) on a relaxed structure of TiIrPd.

Lattice parameters (Å, degrees): 3.695 12.362 3.942 90.00 90.00 90.00
Space group Cmcm (No. 63)
Symmetry-distinct sites (fractional):
Ti 0.000 0.090 0.250 [4 per cell]
Ir 0.000 0.420 0.250 [4 per cell]
Pd 0.000 0.253 0.750 [4 per cell]


VASP calculation (GGA-PBE) on a relaxed structure of Ti4IrPd2.

Lattice parameters (Å, degrees): 5.014 10.190 4.803 90.00 90.00 90.00
Space group Cmmm (No. 65)
Symmetry-distinct sites (fractional):
Ti 0.000 0.128 0.000 [4 per cell]
Ti 0.000 0.333 0.500 [4 per cell]
Ir 0.000 0.000 0.500 [2 per cell]
Pd 0.000 0.378 0.000 [4 per cell]


VASP calculation (GGA-PBE) on a relaxed structure of Ti2IrPd.

Lattice parameters (Å, degrees): 4.106 4.106 3.635 90.00 90.00 90.00
Space group P4/mmm (No. 123)
Symmetry-distinct sites (fractional):
Ti 0.000 0.500 0.000 [2 per cell]
Ir 0.000 0.000 0.500 [1 per cell]
Pd 0.500 0.500 0.500 [1 per cell]


VASP calculation (GGA-PBE) on a relaxed structure of Ti2IrPd2.

Lattice parameters (Å, degrees): 7.204 7.204 3.020 90.00 90.00 90.00
Space group P4/mbm (No. 127)
Symmetry-distinct sites (fractional):
Ti 0.177 0.323 0.000 [4 per cell]
Ir 0.000 0.000 0.500 [2 per cell]
Pd 0.129 0.629 0.500 [4 per cell]


no.,D(E_F) (states/eV per cell),formation energy from the elements (eV/f.u.)
1,5.0,-2.93
2,22.1,-9.56
3,8.6,-1.94
4,15.9,0.08
5,4.7,-2.69
6,10.5,-2.11